K3Nb2Ag3S8: optimized geometry, GGA-PBEsol.

```
data_K3Nb2Ag3S8
_chemical_formula_sum 'K6 Nb4 Ag6 S16'
_cell_length_a 5.845
_cell_length_b 12.447
_cell_length_c 13.430
_cell_angle_alpha 64.27
_cell_angle_beta 77.43
_cell_angle_gamma 76.42
_symmetry_space_group_name_H-M 'P 1'
_symmetry_Int_Tables_number 1
_symmetry_space_group_name_Hall 'P 1'
loop_
_atom_site_label
_atom_site_fract_x
_atom_site_fract_y
_atom_site_fract_z
S1 0.487 0.441 0.651
S2 0.080 0.361 0.320
S3 0.421 0.941 0.151
S4 0.996 0.308 0.887
S5 0.311 0.531 0.897
S6 0.261 0.031 0.397
S7 0.579 0.059 0.849
S8 0.739 0.969 0.603
S9 0.762 0.139 0.180
S10 0.513 0.559 0.349
S11 0.689 0.469 0.103
S12 0.809 0.808 0.387
S13 0.191 0.192 0.613
S14 0.238 0.861 0.820
S15 0.920 0.639 0.680
S16 0.004 0.692 0.113
Nb1 0.821 0.523 0.220
Nb2 0.563 0.977 0.280
Nb3 0.179 0.477 0.780
Nb4 0.437 0.023 0.720
Ag1 0.688 0.750 0.250
Ag2 0.321 0.530 0.212
Ag3 0.063 0.970 0.288
Ag4 0.312 0.250 0.750
Ag5 0.679 0.470 0.788
Ag6 0.937 0.030 0.712
K1 0.784 0.714 0.894
K2 0.000 0.500 0.500
K3 0.000 0.000 0.000
K4 0.392 0.786 0.606
K5 0.216 0.286 0.106
K6 0.608 0.214 0.394
```

Its uncorrected formation energy is -0.86 eV/atom. Its space group is C2/c (15).